No. 1
Below is a relaxed structure of Ba2LaTeCl, with properties calculated at the GGA-PBE level.

The value obtained for the total energy is -3.276 eV per atom.

The structure belongs to space group P4/mmm (No. 123); the cell edges are 6.715, 6.715 and 5.350 Å and the angles 90.00°, 90.00° and 90.00°. The asymmetric unit holds Ba at (0.000, 0.500, 0.000), La at (0.000, 0.000, 0.000), Te at (0.500, 0.500, 0.500) and Cl at (0.000, 0.000, 0.500).



No. 2
Below is a relaxed structure of BaLi2Cl, with properties calculated at the GGA-PBE level.

The value obtained for the total energy is -2.604 eV per atom. The value obtained for the offset from the most stable computed form is 0.25 eV per formula unit.

The structure belongs to space group R3m (No. 160, hexagonal axes); the cell edges are 4.0061, 4.0061 and 26.7193 Å and the angles 90.00°, 90.00° and 120.00°. The asymmetric unit holds Ba at (0.0000, 0.0000, 0.0000), Li at (0.0000, 0.0000, 0.2272), Li at (0.0000, 0.0000, 0.4706) and Cl at (0.0000, 0.0000, 0.7614).



No. 3
Below is a relaxed structure of BaLiCl3, with properties calculated at the GGA-PBE level.

The value obtained for the total energy is -4.081 eV per atom. The value obtained for the offset from the most stable computed form is 0.00 eV per formula unit.

The structure belongs to space group I4/mcm (No. 140); the cell edges are 6.952, 6.952 and 10.127 Å and the angles 90.00°, 90.00° and 90.00°. The asymmetric unit holds Ba at (0.000, 0.500, 0.250), Li at (0.000, 0.000, 0.000), Cl at (0.000, 0.000, 0.250) and Cl at (0.192, 0.308, 0.000).



No. 4
Below is a relaxed structure of Ba2LiCl4, with properties calculated at the GGA-PBE level.

The value obtained for the total energy is -3.918 eV per atom.

The structure belongs to space group I4/mmm (No. 139); the cell edges are 4.850, 4.850 and 16.497 Å and the angles 90.00°, 90.00° and 90.00°. The asymmetric unit holds Ba at (0.000, 0.000, 0.144), Li at (0.000, 0.000, 0.500), Cl at (0.000, 0.000, 0.330) and Cl at (0.000, 0.500, 0.000).



No. 5
Below is a relaxed structure of BaLi2Cl, with properties calculated at the GGA-PBE level.

The value obtained for the total energy is -2.667 eV per atom. The value obtained for the offset from the most stable computed form is 0.00 eV per formula unit.

The structure belongs to space group Amm2 (No. 38); the cell edges are 4.058, 4.769 and 13.066 Å and the angles 90.00°, 90.00° and 90.00°. The asymmetric unit holds Ba at (0.000, 0.000, 0.000), Li at (0.000, 0.000, 0.267), Li at (0.500, 0.000, 0.702) and Cl at (0.500, 0.000, 0.507).



No. 6
Below is a relaxed structure of BaLi2Cl, with properties calculated at the GGA-PBE level.

The value obtained for the total energy is -2.390 eV per atom. The value obtained for the offset from the most stable computed form is 1.11 eV per formula unit.

The structure belongs to space group F-43m (No. 216); the cell edges are 7.975, 7.975 and 7.975 Å and the angles 90.00°, 90.00° and 90.00°. The asymmetric unit holds Ba at (0.000, 0.000, 0.000), Li at (0.000, 0.000, 0.500), Li at (0.250, 0.250, 0.250) and Cl at (0.250, 0.250, 0.750).



| no. | N(E_F) (states/eV per cell) | ΔE_f (raw) (eV/f.u.) |
| --- | --- | --- |
| 1 | 5.87 | -2.62 |
| 2 | 5.71 | -2.82 |
| 3 | 0.00 | -11.03 |
| 4 | 3.09 | -14.28 |
| 5 | 4.15 | -3.07 |
| 6 | 12.62 | -1.96 |